! V2Mo2O7, optimized geometry, DFT PBE with a Hubbard U; values from VASP
! VASP energy (eV per atom): -7.5760
! Total moment (μB per atom): 0.73
! Polymorph energy (0 for the lowest one) (eV per atom): 0.000
&SYSTEM
  ibrav = 0, nat = 11, ntyp = 3
/
ATOMIC_SPECIES
O 16.00 O.upf
Mo 95.94 Mo.upf
V 50.94 V.upf
ATOMIC_POSITIONS angstrom
O 3.615 0.289 1.741
Mo 2.102 3.548 0.179
V 4.455 1.327 0.466
O 3.352 2.069 -0.815
O 0.903 2.178 1.424
V 0.035 3.835 2.668
O 0.000 0.000 0.000
Mo 2.388 1.614 2.955
O 1.138 3.093 3.949
O 0.875 4.873 1.394
O 3.587 2.985 1.710
CELL_PARAMETERS angstrom
5.190 0.044 -0.503
-0.741 5.207 -1.983
0.041 -0.089 5.621